A plane-wave DFT calculation with GGA+U was carried out for a relaxed MgVBiO5 crystal.

As for the calculated volume: 14.58 Å³ per atom. For the raw total energy, the calculation gives -6.687 eV per atom. As for the polymorph energy (0 for the lowest one): 0 meV/atom. The calculation puts the total magnetization at 0.000 μB per atom.

Cell lengths 5.3993, 11.7020, 8.0075 Å; angles 90.00, 112.74, 90.00 degrees
Space group P2_1/c (No. 14)
One atom of each set of equivalent atoms:
Mg  0.0502  0.0785  0.1762 [4 per cell]
V  0.3144  0.6480  0.0298 [4 per cell]
Bi  0.4410  0.0957  0.8248 [4 per cell]
O  0.1761  0.7146  0.4844 [4 per cell]
O  0.2024  0.5679  0.1738 [4 per cell]
O  0.2564  0.5715  0.8299 [4 per cell]
O  0.2584  0.0266  0.0143 [4 per cell]
O  0.3482  0.1757  0.3602 [4 per cell]